(1)
The following is a PBE calculation of a relaxed Np2ScSb3 crystal, from Alexandria via LeMat-Bulk.

Calculated total energy, eV/atom: -7.846

Lattice parameters (Å, degrees): 7.457 7.457 7.545 99.53 99.53 120.03
Sites, in units of the cell vectors:
Np: 0.000 0.000 0.000
Np: 0.161 0.839 0.500
Np: 0.500 0.500 0.500
Np: 0.839 0.161 0.500
Sc: 0.331 0.669 0.000
Sc: 0.669 0.331 0.000
Sb: 0.081 0.423 0.242
Sb: 0.266 0.266 0.766
Sb: 0.423 0.081 0.242
Sb: 0.577 0.919 0.758
Sb: 0.734 0.734 0.234
Sb: 0.919 0.577 0.758


(2)
The following is a PBE calculation of a relaxed NpScSb crystal, from Alexandria via LeMat-Bulk.

Calculated total energy, eV/atom: -8.269

Lattice parameters (Å, degrees): 4.031 4.031 8.605 90.00 90.00 90.00
Sites, in units of the cell vectors:
Np: 0.250 0.750 0.000
Np: 0.750 0.250 0.000
Sc: 0.250 0.250 0.363
Sc: 0.750 0.750 0.637
Sb: 0.250 0.250 0.707
Sb: 0.750 0.750 0.293


(3)
The following is a PBE calculation of a relaxed Np3ScSb5 crystal, from Alexandria via LeMat-Bulk.

Calculated total energy, eV/atom: -7.760

Lattice parameters (Å, degrees): 9.211 9.211 6.225 90.00 90.00 120.00
Sites, in units of the cell vectors:
Np: 0.000 0.387 0.250
Np: 0.000 0.613 0.750
Np: 0.387 0.000 0.250
Np: 0.387 0.387 0.750
Np: 0.613 0.000 0.750
Np: 0.613 0.613 0.250
Sc: 0.000 0.000 0.000
Sc: 0.000 0.000 0.500
Sb: 0.000 0.268 0.750
Sb: 0.000 0.732 0.250
Sb: 0.268 0.000 0.750
Sb: 0.268 0.268 0.250
Sb: 0.333 0.667 0.000
Sb: 0.333 0.667 0.500
Sb: 0.667 0.333 0.000
Sb: 0.667 0.333 0.500
Sb: 0.732 0.000 0.250
Sb: 0.732 0.732 0.750


(4)
The following is a PBE calculation of a relaxed Tb2NpScSb4 crystal, from Alexandria via LeMat-Bulk.

Calculated total energy, eV/atom: -6.464

Lattice parameters (Å, degrees): 7.516 4.343 7.531 90.00 109.28 90.00
Sites, in units of the cell vectors:
Tb: 0.000 0.000 0.000
Tb: 0.500 0.500 0.000
Np: 0.000 0.500 0.500
Sc: 0.500 0.000 0.500
Sb: 0.255 0.000 0.744
Sb: 0.260 0.500 0.261
Sb: 0.740 0.500 0.739
Sb: 0.745 0.000 0.256


(5)
The following is a PBE calculation of a relaxed TbNpSc2Sb4 crystal, from Alexandria via LeMat-Bulk.

Calculated total energy, eV/atom: -6.633

Lattice parameters (Å, degrees): 7.399 4.283 7.431 90.00 109.38 90.00
Sites, in units of the cell vectors:
Tb: 0.000 0.000 0.000
Np: 0.000 0.500 0.500
Sc: 0.500 0.000 0.500
Sc: 0.500 0.500 0.000
Sb: 0.265 0.500 0.256
Sb: 0.266 0.000 0.755
Sb: 0.734 0.000 0.245
Sb: 0.735 0.500 0.744


(6)
The following is a PBE calculation of a relaxed TmNp2ScSb4 crystal, from Alexandria via LeMat-Bulk.

Calculated total energy, eV/atom: -7.235

Lattice parameters (Å, degrees): 7.477 4.320 7.513 90.00 109.38 90.00
Sites, in units of the cell vectors:
Tm: 0.000 0.000 0.000
Np: 0.000 0.500 0.500
Np: 0.500 0.000 0.500
Sc: 0.500 0.500 0.000
Sb: 0.253 0.500 0.242
Sb: 0.259 0.000 0.762
Sb: 0.741 0.000 0.238
Sb: 0.747 0.500 0.758


(7)
The following is a PBE calculation of a relaxed Tm2NpScSb4 crystal, from Alexandria via LeMat-Bulk.

Calculated total energy, eV/atom: -6.384

Lattice parameters (Å, degrees): 7.462 4.311 7.472 90.00 109.29 90.00
Sites, in units of the cell vectors:
Tm: 0.000 0.000 0.000
Tm: 0.500 0.500 0.000
Np: 0.000 0.500 0.500
Sc: 0.500 0.000 0.500
Sb: 0.257 0.000 0.749
Sb: 0.258 0.500 0.256
Sb: 0.742 0.500 0.744
Sb: 0.743 0.000 0.251


(8)
The following is a PBE calculation of a relaxed YNpSc2Sb4 crystal, from Alexandria via LeMat-Bulk.

Calculated total energy, eV/atom: -6.866

Lattice parameters (Å, degrees): 7.397 4.279 7.423 90.00 109.36 90.00
Sites, in units of the cell vectors:
Y: 0.000 0.000 0.000
Np: 0.000 0.500 0.500
Sc: 0.500 0.000 0.500
Sc: 0.500 0.500 0.000
Sb: 0.265 0.500 0.256
Sb: 0.266 0.000 0.756
Sb: 0.734 0.000 0.244
Sb: 0.735 0.500 0.744


(9)
The following is a PBE calculation of a relaxed Np2SbSe crystal, from Alexandria via LeMat-Bulk.

Energy above the most stable polymorph in this dataset, meV/atom: 83

Lattice parameters (Å, degrees): 3.558 3.558 7.598 90.00 90.00 90.00
Sites, in units of the cell vectors:
Np: 0.000 0.000 0.234
Np: 0.000 0.000 0.766
Sb: 0.500 0.500 0.500
Se: 0.500 0.500 0.000


(10)
The following is a PBE calculation of a relaxed Np2SbSe crystal, from Alexandria via LeMat-Bulk.

Energy above the most stable polymorph in this dataset, meV/atom: 109

Lattice parameters (Å, degrees): 5.160 5.160 5.160 60.00 60.00 60.00
Sites, in units of the cell vectors:
Np: 0.250 0.250 0.250
Np: 0.750 0.750 0.750
Sb: 0.000 0.000 0.000
Se: 0.500 0.500 0.500


(11)
The following is a PBE calculation of a relaxed NpSbSe4 crystal, from Alexandria via LeMat-Bulk.

Calculated total energy, eV/atom: -5.640

Lattice parameters (Å, degrees): 6.985 6.842 6.902 90.00 92.45 90.00
Sites, in units of the cell vectors:
Np: 0.000 0.000 0.000
Np: 0.000 0.500 0.500
Sb: 0.500 0.000 0.500
Sb: 0.500 0.500 0.000
Se: 0.154 0.161 0.345
Se: 0.154 0.339 0.845
Se: 0.337 0.647 0.344
Se: 0.337 0.853 0.844
Se: 0.663 0.147 0.156
Se: 0.663 0.353 0.656
Se: 0.846 0.661 0.155
Se: 0.846 0.839 0.655


(12)
The following is a PBE calculation of a relaxed Np2SbSe crystal, from Alexandria via LeMat-Bulk.

Energy above the most stable polymorph in this dataset, meV/atom: 0

Lattice parameters (Å, degrees): 7.295 7.295 7.295 34.12 34.12 34.12
Sites, in units of the cell vectors:
Np: 0.243 0.243 0.243
Np: 0.757 0.757 0.757
Sb: 0.000 0.000 0.000
Se: 0.500 0.500 0.500


Quick rundown of theoretical density, same order as above: 8.6; 9.6; 9.9; 7.8; 7.3; 8.5; 8.1; 6.8; 11.6; 11.5; 6.8; 10.3 Mg/m³